# 1
Entry from OQMD via LeMat-Bulk: a relaxed structure of LuFeHgB (GGA-PBE).

Values from the calculation:
Total magnetic moment in μB per formula unit: 2.1
Total energy in eV/cell: -16.557

Lattice parameters (Å, degrees): 4.524 4.524 4.524 60.00 60.00 60.00
Fractional positions:
Lu 0.000 0.000 0.000
Fe 0.750 0.750 0.750
Hg 0.250 0.250 0.250
B 0.500 0.500 0.500


# 2
Entry from OQMD via LeMat-Bulk: a relaxed structure of LuFeHgB (GGA-PBE).

Values from the calculation:
Total magnetic moment in μB per formula unit: 2.5
Total energy in eV/cell: -17.811

Lattice parameters (Å, degrees): 4.527 4.527 4.527 60.00 60.00 60.00
Fractional positions:
Lu 0.000 0.000 0.000
Fe 0.500 0.500 0.500
Hg 0.750 0.750 0.750
B 0.250 0.250 0.250


# 3
Entry from OQMD via LeMat-Bulk: a relaxed structure of FeHgBMo (GGA-PBE).

Values from the calculation:
Total magnetic moment in μB per formula unit: 0.8
Total energy in eV/cell: -20.989

Lattice parameters (Å, degrees): 4.315 4.315 4.315 60.00 60.00 60.00
Fractional positions:
Fe 0.000 0.000 0.000
Hg 0.500 0.500 0.500
B 0.750 0.750 0.750
Mo 0.250 0.250 0.250


# 4
Entry from OQMD via LeMat-Bulk: a relaxed structure of FeHgBMo (GGA-PBE).

Values from the calculation:
Total magnetic moment in μB per formula unit: 1.8
Total energy in eV/cell: -21.968

Lattice parameters (Å, degrees): 4.240 4.240 4.240 60.00 60.00 60.00
Fractional positions:
Fe 0.000 0.000 0.000
Hg 0.250 0.250 0.250
B 0.750 0.750 0.750
Mo 0.500 0.500 0.500


# 5
Entry from OQMD via LeMat-Bulk: a relaxed structure of FeNiHgB (GGA-PBE).

Values from the calculation:
Total magnetic moment in μB per formula unit: 2.4
Total energy in eV/cell: -17.550

Lattice parameters (Å, degrees): 4.147 4.147 4.147 60.00 60.00 60.00
Fractional positions:
Fe 0.000 0.000 0.000
Ni 0.500 0.500 0.500
Hg 0.250 0.250 0.250
B 0.750 0.750 0.750


# 6
Entry from OQMD via LeMat-Bulk: a relaxed structure of FeNiHgB (GGA-PBE).

Values from the calculation:
Total magnetic moment in μB per formula unit: 3.0
Total energy in eV/cell: -17.585

Lattice parameters (Å, degrees): 4.139 4.139 4.139 60.00 60.00 60.00
Fractional positions:
Fe 0.000 0.000 0.000
Ni 0.250 0.250 0.250
Hg 0.500 0.500 0.500
B 0.750 0.750 0.750


# 7
Entry from OQMD via LeMat-Bulk: a relaxed structure of FeHgBPd (GGA-PBE).

Values from the calculation:
Total magnetic moment in μB per formula unit: 2.7
Total energy in eV/cell: -17.268

Lattice parameters (Å, degrees): 4.317 4.317 4.317 60.00 60.00 60.00
Fractional positions:
Fe 0.000 0.000 0.000
Hg 0.250 0.250 0.250
B 0.750 0.750 0.750
Pd 0.500 0.500 0.500


# 8
Entry from OQMD via LeMat-Bulk: a relaxed structure of FeHgBPt (GGA-PBE).

Values from the calculation:
Total magnetic moment in μB per formula unit: 2.8
Total energy in eV/cell: -17.915

Lattice parameters (Å, degrees): 4.341 4.341 4.341 60.00 60.00 60.00
Fractional positions:
Fe 0.000 0.000 0.000
Hg 0.250 0.250 0.250
B 0.750 0.750 0.750
Pt 0.500 0.500 0.500


# 9
Entry from OQMD via LeMat-Bulk: a relaxed structure of TaFeHgB (GGA-PBE).

Values from the calculation:
Total magnetic moment in μB per formula unit: 1.8
Total energy in eV/cell: -23.567

Lattice parameters (Å, degrees): 4.337 4.337 4.337 60.00 60.00 60.00
Fractional positions:
Ta 0.000 0.000 0.000
Fe 0.500 0.500 0.500
Hg 0.750 0.750 0.750
B 0.250 0.250 0.250


# 10
Entry from OQMD via LeMat-Bulk: a relaxed structure of TaFeHgB (GGA-PBE).

Values from the calculation:
Total magnetic moment in μB per formula unit: 1.0
Total energy in eV/cell: -22.587

Lattice parameters (Å, degrees): 4.356 4.356 4.356 60.00 60.00 60.00
Fractional positions:
Ta 0.000 0.000 0.000
Fe 0.750 0.750 0.750
Hg 0.250 0.250 0.250
B 0.500 0.500 0.500


# 11
Entry from OQMD via LeMat-Bulk: a relaxed structure of FeTcHgB (GGA-PBE).

Values from the calculation:
Total magnetic moment in μB per formula unit: 2.2
Total energy in eV/cell: -20.549

Lattice parameters (Å, degrees): 4.280 4.280 4.280 60.00 60.00 60.00
Fractional positions:
Fe 0.000 0.000 0.000
Tc 0.250 0.250 0.250
Hg 0.500 0.500 0.500
B 0.750 0.750 0.750


# 12
Entry from OQMD via LeMat-Bulk: a relaxed structure of FeTcHgB (GGA-PBE).

Values from the calculation:
Total magnetic moment in μB per formula unit: 2.6
Total energy in eV/cell: -21.613

Lattice parameters (Å, degrees): 4.212 4.212 4.212 60.00 60.00 60.00
Fractional positions:
Fe 0.000 0.000 0.000
Tc 0.500 0.500 0.500
Hg 0.250 0.250 0.250
B 0.750 0.750 0.750


# 13
Entry from OQMD via LeMat-Bulk: a relaxed structure of FeHgBW (GGA-PBE).

Values from the calculation:
Total magnetic moment in μB per formula unit: 1.7
Total energy in eV/cell: -23.460

Lattice parameters (Å, degrees): 4.284 4.284 4.284 60.00 60.00 60.00
Fractional positions:
Fe 0.000 0.000 0.000
Hg 0.250 0.250 0.250
B 0.750 0.750 0.750
W 0.500 0.500 0.500


# 14
Entry from OQMD via LeMat-Bulk: a relaxed structure of FeHgBW (GGA-PBE).

Values from the calculation:
Total magnetic moment in μB per formula unit: 0.8
Total energy in eV/cell: -22.403

Lattice parameters (Å, degrees): 4.293 4.293 4.293 60.00 60.00 60.00
Fractional positions:
Fe 0.000 0.000 0.000
Hg 0.500 0.500 0.500
B 0.750 0.750 0.750
W 0.250 0.250 0.250


# 15
Entry from OQMD via LeMat-Bulk: a relaxed structure of ZnFeHgB (GGA-PBE).

Values from the calculation:
Total magnetic moment in μB per formula unit: 2.2
Total energy in eV/cell: -12.819

Lattice parameters (Å, degrees): 4.243 4.243 4.243 60.00 60.00 60.00
Fractional positions:
Zn 0.000 0.000 0.000
Fe 0.750 0.750 0.750
Hg 0.250 0.250 0.250
B 0.500 0.500 0.500


# 16
Entry from OQMD via LeMat-Bulk: a relaxed structure of ZnFeHgB (GGA-PBE).

Values from the calculation:
Total magnetic moment in μB per formula unit: 2.3
Total energy in eV/cell: -12.636

Lattice parameters (Å, degrees): 4.289 4.289 4.289 60.00 60.00 60.00
Fractional positions:
Zn 0.000 0.000 0.000
Fe 0.500 0.500 0.500
Hg 0.750 0.750 0.750
B 0.250 0.250 0.250


# 17
Entry from OQMD via LeMat-Bulk: a relaxed structure of ZrFeHgB (GGA-PBE).

Values from the calculation:
Total magnetic moment in μB per formula unit: 1.7
Total energy in eV/cell: -20.483

Lattice parameters (Å, degrees): 4.463 4.463 4.463 60.00 60.00 60.00
Fractional positions:
Zr 0.000 0.000 0.000
Fe 0.750 0.750 0.750
Hg 0.250 0.250 0.250
B 0.500 0.500 0.500


# 18
Entry from OQMD via LeMat-Bulk: a relaxed structure of ZrFeHgB (GGA-PBE).

Values from the calculation:
Total magnetic moment in μB per formula unit: 2.2
Total energy in eV/cell: -21.619

Lattice parameters (Å, degrees): 4.456 4.456 4.456 60.00 60.00 60.00
Fractional positions:
Zr 0.000 0.000 0.000
Fe 0.500 0.500 0.500
Hg 0.750 0.750 0.750
B 0.250 0.250 0.250


# 19
Entry from OQMD via LeMat-Bulk: a relaxed structure of HoFeB4 (GGA-PBE).

Values from the calculation:
Total magnetic moment in μB per formula unit: 0.9
Total energy in eV/cell: -41.733

Lattice parameters (Å, degrees): 3.136 3.136 6.527 90.00 90.00 120.00
Fractional positions:
Ho 0.000 0.000 0.000
Fe 0.000 0.000 0.500
B 0.333 0.667 0.298
B 0.333 0.667 0.702
B 0.667 0.333 0.298
B 0.667 0.333 0.702


# 20
Entry from OQMD via LeMat-Bulk: a relaxed structure of HoFe2B (GGA-PBE).

Values from the calculation:
Total magnetic moment in μB per formula unit: 2.6
Total energy in eV/cell: -85.906

Lattice parameters (Å, degrees): 7.600 7.600 7.600 38.60 38.60 38.60
Fractional positions:
Ho 0.000 0.000 0.000
Ho 0.144 0.144 0.144
Ho 0.856 0.856 0.856
Fe 0.082 0.568 0.568
Fe 0.432 0.432 0.918
Fe 0.432 0.918 0.432
Fe 0.568 0.082 0.568
Fe 0.568 0.568 0.082
Fe 0.918 0.432 0.432
B 0.331 0.331 0.331
B 0.500 0.500 0.500
B 0.669 0.669 0.669


# 21
Entry from OQMD via LeMat-Bulk: a relaxed structure of HoFeB2 (GGA-PBE).

Values from the calculation:
Total magnetic moment in μB per formula unit: 0.7
Total energy in eV/cell: -82.184

Lattice parameters (Å, degrees): 7.028 7.028 7.028 41.45 41.45 41.45
Fractional positions:
Ho 0.000 0.000 0.000
Ho 0.156 0.156 0.156
Ho 0.844 0.844 0.844
Fe 0.308 0.308 0.308
Fe 0.500 0.500 0.500
Fe 0.692 0.692 0.692
B 0.163 0.531 0.531
B 0.469 0.469 0.837
B 0.469 0.837 0.469
B 0.531 0.163 0.531
B 0.531 0.531 0.163
B 0.837 0.469 0.469


# 22
Entry from OQMD via LeMat-Bulk: a relaxed structure of HoFe4B4 (GGA-PBE).

Values from the calculation:
Total magnetic moment in μB per formula unit: 0.9
Total energy in eV/cell: -137.782

Lattice parameters (Å, degrees): 6.925 6.925 3.818 90.00 90.00 90.00
Fractional positions:
Ho 0.250 0.250 0.250
Ho 0.750 0.750 0.750
Fe 0.118 0.635 0.140
Fe 0.135 0.882 0.640
Fe 0.365 0.618 0.640
Fe 0.382 0.865 0.140
Fe 0.618 0.135 0.860
Fe 0.635 0.382 0.360
Fe 0.865 0.118 0.360
Fe 0.882 0.365 0.860
B 0.051 0.917 0.143
B 0.083 0.551 0.643
B 0.417 0.949 0.643
B 0.449 0.583 0.143
B 0.551 0.417 0.857
B 0.583 0.051 0.357
B 0.917 0.449 0.357
B 0.949 0.083 0.857


# 23
Entry from OQMD via LeMat-Bulk: a relaxed structure of HoFeB (GGA-PBE).

Values from the calculation:
Total magnetic moment in μB per formula unit: 1.7
Total energy in eV/cell: -18.809

Lattice parameters (Å, degrees): 4.049 4.049 4.049 60.00 60.00 60.00
Fractional positions:
Ho 0.000 0.000 0.000
Fe 0.500 0.500 0.500
B 0.750 0.750 0.750


# 24
Entry from OQMD via LeMat-Bulk: a relaxed structure of Ho3Fe2B7 (GGA-PBE).

Values from the calculation:
Total magnetic moment in μB per formula unit: 2.1
Total energy in eV/cell: -76.924

Lattice parameters (Å, degrees): 7.544 7.544 7.544 36.70 36.70 36.70
Fractional positions:
Ho 0.000 0.000 0.000
Ho 0.138 0.138 0.138
Ho 0.862 0.862 0.862
Fe 0.356 0.356 0.356
Fe 0.644 0.644 0.644
B 0.015 0.383 0.383
B 0.383 0.015 0.383
B 0.383 0.383 0.015
B 0.500 0.500 0.500
B 0.617 0.617 0.985
B 0.617 0.985 0.617
B 0.985 0.617 0.617


# 25
Entry from OQMD via LeMat-Bulk: a relaxed structure of Ho3FeB7 (GGA-PBE).

Values from the calculation:
Total magnetic moment in μB per formula unit: 0.3
Total energy in eV/cell: -151.135

Lattice parameters (Å, degrees): 7.983 7.983 9.264 90.00 90.00 155.41
Fractional positions:
Ho 0.105 0.895 0.560
Ho 0.105 0.895 0.940
Ho 0.243 0.757 0.250
Ho 0.757 0.243 0.750
Ho 0.895 0.105 0.060
Ho 0.895 0.105 0.440
Fe 0.054 0.946 0.250
Fe 0.946 0.054 0.750
B 0.272 0.728 0.533
B 0.272 0.728 0.967
B 0.370 0.630 0.653
B 0.370 0.630 0.847
B 0.459 0.541 0.250
B 0.479 0.521 0.599
B 0.479 0.521 0.901
B 0.521 0.479 0.099
B 0.521 0.479 0.401
B 0.541 0.459 0.750
B 0.630 0.370 0.153
B 0.630 0.370 0.347
B 0.728 0.272 0.033
B 0.728 0.272 0.467


# 26
Entry from OQMD via LeMat-Bulk: a relaxed structure of HoFeB4 (GGA-PBE).

Values from the calculation:
Total magnetic moment in μB per formula unit: 2.2
Total energy in eV/cell: -40.965

Lattice parameters (Å, degrees): 4.662 4.662 4.662 140.68 110.90 82.51
Fractional positions:
Ho 0.000 0.000 0.000
Fe 0.500 0.500 0.000
B 0.086 0.752 0.335
B 0.417 0.752 0.665
B 0.583 0.248 0.335
B 0.914 0.248 0.665


# 27
Entry from OQMD via LeMat-Bulk: a relaxed structure of Ho2Fe4B4Ir (GGA-PBE).

Values from the calculation:
Total magnetic moment in μB per formula unit: 2.8
Total energy in eV/cell: -83.581

Lattice parameters (Å, degrees): 7.276 6.010 5.443 78.71 54.10 47.19
Fractional positions:
Ho 0.148 0.148 0.852
Ho 0.852 0.852 0.148
Fe 0.000 0.000 0.500
Fe 0.250 0.250 0.250
Fe 0.500 0.500 0.000
Fe 0.750 0.750 0.750
B 0.202 0.525 0.475
B 0.475 0.798 0.202
B 0.525 0.202 0.798
B 0.798 0.475 0.525
Ir 0.500 0.500 0.500